The following is a DFT calculation (PBEsol) of a relaxed Al2NiOs crystal.

Structure (POSCAR):
```
Al2NiOs
1.0
-2.0751 2.0751 2.9418
2.0751 -2.0751 2.9418
2.0751 2.0751 -2.9418
Al Ni Os
2 1 1
direct
0.2500 0.7500 0.5000 Al
0.7500 0.2500 0.5000 Al
0.0000 0.0000 0.0000 Ni
0.5000 0.5000 0.0000 Os
```

Values from the calculation:
DOS at the Fermi energy   0.427 states/eV/atom
Space group   I4/mmm (139)
ΔE_f   -0.533 eV per atom

The following is a DFT calculation (PBEsol) of a relaxed KGdMo2O8 crystal.

Structure (POSCAR):
```
KGdMo2O8
1.0
5.2322 0.0000 0.0000
2.6102 6.3321 0.0000
2.2406 1.6832 10.2642
K Gd Mo O
2 2 4 16
direct
0.1118 0.1960 0.0586 K
0.8882 0.8040 0.9414 K
0.1205 0.6888 0.5609 Gd
0.8795 0.3112 0.4391 Gd
0.3606 0.5651 0.2204 Mo
0.3859 0.0766 0.6725 Mo
0.6141 0.9234 0.3275 Mo
0.6394 0.4349 0.7796 Mo
0.1109 0.5594 0.3720 O
0.1659 0.0948 0.8182 O
0.2004 0.0172 0.5684 O
0.2540 0.5061 0.0960 O
0.3025 0.6256 0.7505 O
0.3036 0.1439 0.3064 O
0.4046 0.8116 0.1663 O
0.4614 0.3161 0.5837 O
0.5386 0.6839 0.4163 O
0.5954 0.1884 0.8337 O
0.6964 0.8561 0.6936 O
0.6975 0.3744 0.2495 O
0.7460 0.4939 0.9040 O
0.7996 0.9828 0.4316 O
0.8341 0.9052 0.1818 O
0.8891 0.4406 0.6280 O
```

Values from the calculation:
DOS at the Fermi energy   0.000 states/eV/atom
Space group   P-1 (2)
Uncorrected formation energy   -56.2 kcal/mol of atoms

The following is a DFT calculation (PBEsol) of a relaxed TlRuRh2 crystal.

Structure (POSCAR):
```
TlRuRh2
1.0
4.6413 0.0000 0.0000
0.0000 4.6413 0.0000
0.0000 0.0000 2.8656
Tl Ru Rh
1 1 2
direct
0.0000 0.0000 0.0000 Tl
0.5000 0.5000 0.0000 Ru
0.0000 0.5000 0.5000 Rh
0.5000 0.0000 0.5000 Rh
```

Values from the calculation:
DOS at the Fermi energy   1.366 states/eV/atom
Offset from the most stable computed form   122.7 meV per atom
Space group   P4/mmm (123)
ΔE_f   0.428 eV per atom

| no. | magnetization (μB/f.u.) |
| --- | --- |
| 1 | 0.00 |
| 2 | 6.97 |
| 3 | 1.19 |